[1]
This record from the Alexandria database describes an optimized crystal structure of TbCeHo4Er2. The functional is PBE-GGA.

Properties
Electronic total energy   -37.6 eV per cell
Energy of formation from the pure elements   0.04 eV/atom

Cell: 4.9839 4.9839 9.9623 Å, 90.00 90.00 90.00°
Last column: nearest neighbours and their distance in Å.
Space group P4/mmm (No. 123)
Inequivalent atoms, fractional coordinates:
Tb 0.0000 0.0000 0.0000 (multiplicity 1)  4 Er 3.52, 8 Ho 3.53
Ce 0.5000 0.5000 0.5000 (multiplicity 1)  8 Ho 3.52, 4 Er 3.52
Ho 0.0000 0.5000 0.2511 (multiplicity 4)  2 Ce 3.52, 4 Er 3.52-3.53, 4 Ho 3.52, 2 Tb 3.53
Er 0.0000 0.0000 0.5000 (multiplicity 1)  8 Ho 3.52, 4 Ce 3.52
Er 0.5000 0.5000 0.0000 (multiplicity 1)  4 Tb 3.52, 8 Ho 3.53

[2]
This record from the Alexandria database describes an optimized crystal structure of Tb4CeHo2Er. The functional is PBE-GGA.

Properties
Electronic total energy   -37.8 eV per cell
Energy of formation from the pure elements   0.04 eV/atom

Cell: 6.1245 3.5364 11.7394 Å, 90.00 100.00 90.00°
Last column: nearest neighbours and their distance in Å.
Space group P2/m (No. 10)
Inequivalent atoms, fractional coordinates:
Tb 0.2463 0.0000 0.2494 (multiplicity 2)  6 Tb 3.51-3.57, 2 Ce 3.53, 1 Er 3.53, 3 Ho 3.54-3.55
Tb 0.2479 0.5000 0.7501 (multiplicity 2)  6 Tb 3.51-3.57, 1 Ce 3.53, 2 Er 3.54, 3 Ho 3.54-3.55
Ce 0.0000 0.5000 0.0000 (multiplicity 1)  6 Tb 3.53, 4 Ho 3.54, 2 Ce 3.54
Ho 0.5000 0.0000 0.0000 (multiplicity 1)  4 Ce 3.54, 2 Ho 3.54, 6 Tb 3.54
Ho 0.5000 0.5000 0.5000 (multiplicity 1)  4 Er 3.54, 2 Ho 3.54, 6 Tb 3.55
Er 0.0000 0.0000 0.5000 (multiplicity 1)  6 Tb 3.53-3.54, 4 Ho 3.54, 2 Er 3.54